The following is a GGA+U calculation of a relaxed structure of SrPrMo2O8, from Alexandria via LeMat-Bulk.

Cell and atoms, written as CIF:
```
data_SrPrMo2O8
_cell_length_a 5.4275
_cell_length_b 5.4275
_cell_length_c 11.9683
_cell_angle_alpha 90.00
_cell_angle_beta 90.00
_cell_angle_gamma 90.00
_symmetry_space_group_name_H-M 'I -4'
_symmetry_Int_Tables_number 82
_symmetry_space_group_name_Hall 'I -4'
loop_
_atom_site_label
_atom_site_type_symbol
_atom_site_fract_x
_atom_site_fract_y
_atom_site_fract_z
_atom_site_occupancy
Sr1 Sr 0.0000 0.0000 0.0000 1
Pr1 Pr 0.0000 0.5000 0.2500 1
Mo1 Mo 0.0000 0.0000 0.5000 1
Mo2 Mo 0.0000 0.5000 0.7500 1
O1 O 0.1431 0.2392 0.4175 1
O2 O 0.1631 0.7534 0.8273 1
```

Calculated values
ρ in Mg/m³: 5.17
Total moment in Bohr magnetons per cell: 2.00
Uncorrected energy in eV per atom: -7.3681